A plane-wave DFT calculation with PBE was carried out for crystalline InSe3 at its relaxed geometry.

Theoretical density (kg/m3): 6083
Spin magnetization (μB per cell): 0.00
Calculated total energy (eV/cell): -12.822

The structure in POSCAR format:
```
InSe3
1.0
3.8138 0.0000 0.0000
-1.9069 3.3028 0.0000
0.0000 0.0000 7.6222
In Se
1 3
Cartesian
0.0000 0.0000 0.0000
0.0000 0.0000 3.8111
1.9069 1.1009 1.8341
1.9069 1.1009 5.7882
```

A plane-wave DFT calculation with PBE was carried out for crystalline In3Se at its relaxed geometry.

Theoretical density (kg/m3): 6324
Spin magnetization (μB per cell): 0.00
Calculated total energy (eV/cell): -12.369

The structure in POSCAR format:
```
In3Se
1.0
-1.9240 5.3009 2.7253
1.9240 -5.3009 2.7253
1.9240 5.3009 -2.7253
In Se
3 1
Cartesian
0.0000 0.0000 0.0000
1.9240 3.0639 -0.3960
0.0000 2.2370 2.3293
0.0000 5.3009 0.5712
```

A plane-wave DFT calculation with PBE was carried out for crystalline In4Se at its relaxed geometry.

Theoretical density (kg/m3): 5290
Spin magnetization (μB per cell): 0.00
Calculated total energy (eV/cell): -13.932

The structure in POSCAR format:
```
In4Se
1.0
-3.4826 3.4826 3.4826
3.4826 -3.4826 3.4826
3.4826 3.4826 -3.4826
In Se
4 1
Cartesian
1.7413 1.7413 -1.7413
1.7413 -1.7413 1.7413
-1.7413 1.7413 1.7413
1.7413 1.7413 1.7413
0.0000 0.0000 0.0000
```

A plane-wave DFT calculation with PBE was carried out for crystalline In5Se at its relaxed geometry.

Theoretical density (kg/m3): 6709
Spin magnetization (μB per cell): 0.00
Calculated total energy (eV/cell): -17.495

The structure in POSCAR format:
```
In5Se
1.0
2.5882 -6.0663 0.0000
2.5882 6.0663 0.0000
0.0000 0.0000 5.1474
In Se
5 1
Cartesian
0.0000 0.0000 0.0000
2.5882 4.2156 2.5737
2.5882 2.0624 0.0000
2.5882 -2.0624 0.0000
2.5882 -4.2156 2.5737
2.5882 0.0000 2.5737
```

A plane-wave DFT calculation with PBE was carried out for crystalline InSe3 at its relaxed geometry.

Theoretical density (kg/m3): 6485
Spin magnetization (μB per cell): 0.00
Calculated total energy (eV/cell): -11.677

The structure in POSCAR format:
```
InSe3
1.0
4.4823 0.0000 0.0000
0.0000 4.4823 0.0000
0.0000 0.0000 4.4823
In Se
1 3
Cartesian
0.0000 0.0000 0.0000
0.0000 2.2411 2.2411
2.2411 0.0000 2.2411
2.2411 2.2411 0.0000
```

A plane-wave DFT calculation with PBE was carried out for crystalline InSe3 at its relaxed geometry.

Theoretical density (kg/m3): 6589
Spin magnetization (μB per cell): 0.00
Calculated total energy (eV/cell): -12.334

The structure in POSCAR format:
```
InSe3
1.0
4.9774 0.0000 0.0000
0.0000 4.9774 0.0000
0.0000 0.0000 3.5774
In Se
1 3
Cartesian
0.0000 0.0000 0.0000
0.0000 2.4887 1.7887
2.4887 0.0000 1.7887
2.4887 2.4887 0.0000
```

A plane-wave DFT calculation with PBE was carried out for crystalline In6Se7 at its relaxed geometry.

Theoretical density (kg/m3): 5866
Spin magnetization (μB per cell): 0.00
Calculated total energy (eV/cell): -94.175

The structure in POSCAR format:
```
In6Se7
1.0
9.6049 0.0000 0.0000
0.0000 4.1310 0.0000
-3.4157 0.0000 17.7161
In Se
12 14
Cartesian
-0.1831 0.0004 1.8268
-1.4403 0.0020 11.1061
0.6609 2.0655 5.5621
-0.1457 4.1299 17.1206
1.5194 2.0666 9.6931
1.9416 0.0006 13.7047
4.2475 2.0661 4.0114
4.6698 0.0011 8.0230
6.3348 2.0644 0.5954
5.5283 0.0000 12.1539
7.6295 2.0675 6.6099
6.3722 2.0659 15.8893
-1.7242 0.0000 14.9368
-0.1128 0.0009 8.7789
1.5184 2.0627 0.5798
1.5278 4.1308 4.0336
0.0746 2.0670 12.0695
2.8631 2.0665 7.2336
1.4175 2.0646 16.0764
4.7717 4.1301 1.6397
3.3261 0.0010 10.4825
6.1145 0.0015 5.6466
4.6614 2.0653 13.6825
4.6708 4.1282 17.1362
6.3020 2.0664 8.9371
7.9134 2.0655 2.7793
```

A plane-wave DFT calculation with PBE was carried out for crystalline InSe3 at its relaxed geometry.

Theoretical density (kg/m3): 5180
Spin magnetization (μB per cell): 0.00
Calculated total energy (eV/cell): -13.312

The structure in POSCAR format:
```
InSe3
1.0
-1.9262 1.9262 7.5966
1.9262 -1.9262 7.5966
1.9262 1.9262 -7.5966
In Se
1 3
Cartesian
0.0000 0.0000 0.0000
1.9262 0.0000 3.7983
0.0000 0.0000 7.5966
0.0000 1.9262 3.7983
```

Please write out number 8 again, unchanged.
A plane-wave DFT calculation with PBE was carried out for crystalline InSe3 at its relaxed geometry.

Theoretical density (kg/m3): 5180
Spin magnetization (μB per cell): 0.00
Calculated total energy (eV/cell): -13.312

The structure in POSCAR format:
```
InSe3
1.0
-1.9262 1.9262 7.5966
1.9262 -1.9262 7.5966
1.9262 1.9262 -7.5966
In Se
1 3
Cartesian
0.0000 0.0000 0.0000
1.9262 0.0000 3.7983
0.0000 0.0000 7.5966
0.0000 1.9262 3.7983
```

Q: Which value of calculated total energy does entry 2 give?
A: -12.369 eV/cell

Repeat the seventh record exactly.
A plane-wave DFT calculation with PBE was carried out for crystalline In6Se7 at its relaxed geometry.

Theoretical density (kg/m3): 5866
Spin magnetization (μB per cell): 0.00
Calculated total energy (eV/cell): -94.175

The structure in POSCAR format:
```
In6Se7
1.0
9.6049 0.0000 0.0000
0.0000 4.1310 0.0000
-3.4157 0.0000 17.7161
In Se
12 14
Cartesian
-0.1831 0.0004 1.8268
-1.4403 0.0020 11.1061
0.6609 2.0655 5.5621
-0.1457 4.1299 17.1206
1.5194 2.0666 9.6931
1.9416 0.0006 13.7047
4.2475 2.0661 4.0114
4.6698 0.0011 8.0230
6.3348 2.0644 0.5954
5.5283 0.0000 12.1539
7.6295 2.0675 6.6099
6.3722 2.0659 15.8893
-1.7242 0.0000 14.9368
-0.1128 0.0009 8.7789
1.5184 2.0627 0.5798
1.5278 4.1308 4.0336
0.0746 2.0670 12.0695
2.8631 2.0665 7.2336
1.4175 2.0646 16.0764
4.7717 4.1301 1.6397
3.3261 0.0010 10.4825
6.1145 0.0015 5.6466
4.6614 2.0653 13.6825
4.6708 4.1282 17.1362
6.3020 2.0664 8.9371
7.9134 2.0655 2.7793
```